A relaxed structure of ZrOs2Cl, computed with PBE.

POSCAR file:
```
ZrOs2Cl
1.0
2.951 0.000 0.000
0.000 4.285 0.000
0.000 0.000 5.428
Zr Os Cl
1 2 1
Cartesian
0.000 0.000 0.000
0.000 2.142 2.714
1.475 0.000 2.714
1.475 2.142 0.000
```

Properties
**D(E_F)**: 3.44 states/eV/f.u.
**E_tot**: -0.57618 Ry/atom
**Polymorph energy (0 for the lowest one)**: 9.25 kcal/mol of atoms
**Magnetization**: 0.00 μB per formula unit
**E_form (uncorrected)**: 0.374 eV/atom